First-principles (PBE) data for a relaxed structure of YAl2Fe, as listed in the Alexandria database.

Computed properties:
* E: -5.76 eV/atom
* density: 4.72 g/cm³
* energy relative to the elements: -0.1590 eV per atom

a b c (Å): 3.1734 3.1734 6.9437
angles (deg): 90.00 90.00 90.00
With the nearest neighbours (Å) after each atom.
Fractional positions:
1 Y 0.0000 0.0000 0.0000  4 Fe 2.96, 5 Al 2.97-3.24, 4 Y 3.17
2 Al 0.0000 0.0000 0.5721  4 Fe 2.47
3 Al 0.5000 0.5000 0.3358  1 Fe 2.68, 4 Al 2.78
4 Fe 0.5000 0.5000 0.7219  5 Al 2.47-2.68